First-principles (PBE) data for a relaxed HfZr6Tl crystal, as listed in Alexandria.

Lattice parameters (Å, degrees): 6.3905 6.3905 5.2019 90.00 90.00 120.00
Last column: nearest neighbours and their distance in Å.
Sites, in units of the cell vectors:
Hf  0.0000  0.0000  0.0000  12 Zr 3.17-3.20
Zr  0.1645  0.3289  0.5000  8 Zr 3.15-3.24, 2 Hf 3.17, 2 Tl 3.20
Zr  0.1645  0.8355  0.5000  8 Zr 3.15-3.24, 2 Hf 3.17, 2 Tl 3.20
Zr  0.5005  0.0010  0.0000  2 Tl 3.19, 8 Zr 3.19-3.20, 2 Hf 3.20
Zr  0.5005  0.4995  0.0000  2 Tl 3.19, 8 Zr 3.19-3.20, 2 Hf 3.20
Zr  0.6711  0.8355  0.5000  8 Zr 3.15-3.24, 2 Hf 3.17, 2 Tl 3.20
Zr  0.9990  0.4995  0.0000  2 Tl 3.19, 8 Zr 3.19-3.20, 2 Hf 3.20
Tl  0.6667  0.3333  0.5000  12 Zr 3.19-3.20

Properties
energy relative to the lowest polymorph listed for this composition	16.8	meV/atom
ΔH_f (0 K)	-19	meV per atom
crystal system	hexagonal